Record 1
# meta-GGA SCAN Al2HgTe2, single point on PBEsol structure
# **M_tot**: 0.00 μB per formula unit
# **Formation energy (no corrections)**: -134 meV per atom
data_Al2HgTe2
_chemical_formula_sum 'Al4 Hg2 Te4'
_symmetry_space_group_name_H-M 'I 4/m m m'
_symmetry_Int_Tables_number 139
_symmetry_space_group_name_Hall '-I 4 2'
_cell_length_a 5.3496
_cell_length_b 5.3496
_cell_length_c 8.7937
_cell_angle_alpha 90.00
_cell_angle_beta 90.00
_cell_angle_gamma 90.00
loop_
_atom_site_label
_atom_site_fract_x
_atom_site_fract_y
_atom_site_fract_z
Al1 0.0000 0.0000 0.1488
Hg1 0.0000 0.0000 0.5000
Te1 0.0000 0.5000 0.2500



Record 2
# meta-GGA SCAN KScGeMo2, single point on PBEsol structure
# **M_tot**: 0.00 μB per formula unit
# **Formation enthalpy at 0 K**: 12.4 eV per formula unit
data_KScGeMo2
_chemical_formula_sum 'K1 Sc1 Ge1 Mo2'
_symmetry_space_group_name_H-M 'P 4/m m m'
_symmetry_Int_Tables_number 123
_symmetry_space_group_name_Hall '-P 4 2'
_cell_length_a 4.4872
_cell_length_b 4.4872
_cell_length_c 4.4945
_cell_angle_alpha 90.00
_cell_angle_beta 90.00
_cell_angle_gamma 90.00
loop_
_atom_site_label
_atom_site_fract_x
_atom_site_fract_y
_atom_site_fract_z
K1 0.0000 0.0000 0.0000
Sc1 0.0000 0.0000 0.5000
Ge1 0.5000 0.5000 0.5000
Mo1 0.0000 0.5000 0.0000



Record 3
# meta-GGA SCAN MnCo2Re, single point on PBEsol structure
# **M_tot**: 2.18 μB per formula unit
# **Formation enthalpy at 0 K**: 0.3 eV per formula unit
data_MnCo2Re
_chemical_formula_sum 'Mn2 Co4 Re2'
_symmetry_space_group_name_H-M 'I 4/m m m'
_symmetry_Int_Tables_number 139
_symmetry_space_group_name_Hall '-I 4 2'
_cell_length_a 3.5463
_cell_length_b 3.5463
_cell_length_c 7.1400
_cell_angle_alpha 90.00
_cell_angle_beta 90.00
_cell_angle_gamma 90.00
loop_
_atom_site_label
_atom_site_fract_x
_atom_site_fract_y
_atom_site_fract_z
Mn1 0.0000 0.0000 0.0000
Co1 0.0000 0.5000 0.2500
Re1 0.0000 0.0000 0.5000



Record 4
# meta-GGA SCAN ScIrPb2, single point on PBEsol structure
# **M_tot**: 0.00 μB per formula unit
# **Formation enthalpy at 0 K**: -0.4 eV per formula unit
data_ScIrPb2
_chemical_formula_sum 'Sc3 Ir3 Pb6'
_symmetry_space_group_name_H-M 'R 3 m'
_symmetry_Int_Tables_number 160
_symmetry_space_group_name_Hall 'R 3 -2"'
_cell_length_a 3.4153
_cell_length_b 3.4153
_cell_length_c 27.4171
_cell_angle_alpha 90.00
_cell_angle_beta 90.00
_cell_angle_gamma 120.00
loop_
_atom_site_label
_atom_site_fract_x
_atom_site_fract_y
_atom_site_fract_z
Sc1 0.0000 0.0000 0.0000
Ir1 0.0000 0.0000 0.2718
Pb1 0.0000 0.0000 0.5292
Pb2 0.0000 0.0000 0.7606



Record 5
# meta-GGA SCAN SiAgSb3, single point on PBEsol structure
# **M_tot**: 0.00 μB per formula unit
# **Formation energy (no corrections)**: 828 meV per atom
data_SiAgSb3
_chemical_formula_sum 'Si1 Ag1 Sb3'
_symmetry_space_group_name_H-M 'P m -3 m'
_symmetry_Int_Tables_number 221
_symmetry_space_group_name_Hall '-P 4 2 3'
_cell_length_a 5.1170
_cell_length_b 5.1170
_cell_length_c 5.1170
_cell_angle_alpha 90.00
_cell_angle_beta 90.00
_cell_angle_gamma 90.00
loop_
_atom_site_label
_atom_site_fract_x
_atom_site_fract_y
_atom_site_fract_z
Si1 0.0000 0.0000 0.0000
Ag1 0.5000 0.5000 0.5000
Sb1 0.0000 0.0000 0.5000



Record 6
# meta-GGA SCAN ScTaCo2, single point on PBEsol structure
# **M_tot**: 0.41 μB per formula unit
# **Formation enthalpy at 0 K**: -0.6 eV per formula unit
data_ScTaCo2
_chemical_formula_sum 'Sc1 Ta1 Co2'
_symmetry_space_group_name_H-M 'P 1 m 1'
_symmetry_Int_Tables_number 6
_symmetry_space_group_name_Hall 'P -2y'
_cell_length_a 2.9108
_cell_length_b 4.2343
_cell_length_c 4.6497
_cell_angle_alpha 90.00
_cell_angle_beta 99.20
_cell_angle_gamma 90.00
loop_
_atom_site_label
_atom_site_fract_x
_atom_site_fract_y
_atom_site_fract_z
Sc1 0.0000 0.0000 0.0000
Ta1 0.8275 0.5000 0.4489
Co1 0.3736 0.0000 0.5303
Co2 0.4661 0.5000 0.9086